#w
Material: Mg2AgCl
Method: DFT, PBEsol
State: relaxed

a b c (Å): 3.2109 3.2109 7.5430
angles (deg): 90.00 90.00 90.00
Closest atoms and distances in Å follow each position.
Space group P4/mmm (No. 123)
Asymmetric unit:
Mg (0.0000, 0.0000, 0.2268)  4 Ag 2.84, 4 Cl 3.07
Ag (0.5000, 0.5000, 0.0000)  8 Mg 2.84
Cl (0.5000, 0.5000, 0.5000)  8 Mg 3.07, 4 Cl 3.21

***

#x
Material: Mg2AgCl
Method: DFT, PBEsol
State: relaxed

a b c (Å): 5.8191 3.3574 8.1670
angles (deg): 90.00 103.59 90.00
Closest atoms and distances in Å follow each position.
Space group C2/m (No. 12)
Asymmetric unit:
Mg (0.2489, 0.0000, 0.2496)  3 Cl 2.77-2.78, 3 Ag 2.77
Ag (0.0000, 0.5000, 0.0000)  6 Mg 2.77
Cl (0.0000, 0.0000, 0.5000)  6 Mg 2.77-2.78

***

Energies relative to the minimum, meV per atom: #w 62; #x 0

***

#w
Material: AgMoCl2
Method: DFT, PBEsol
State: relaxed

a b c (Å): 10.2925 2.9154 6.4931
angles (deg): 90.00 115.11 90.00
Closest atoms and distances in Å follow each position.
Space group Cm (No. 8)
Asymmetric unit:
Ag (0.0000, 0.0000, 0.0000)  3 Mo 2.72-2.83, 2 Ag 2.92
Mo (0.2361, 0.5000, 0.0001)  4 Cl 2.38
Cl (0.1631, 0.0000, 0.6816)  2 Mo 2.38
Cl (0.3339, 0.0000, 0.3184)  2 Mo 2.38

***

#x
Material: AgMoCl2
Method: DFT, PBEsol
State: relaxed

a b c (Å): 2.9895 2.9895 7.8125
angles (deg): 90.00 90.00 90.00
Closest atoms and distances in Å follow each position.
Space group P4mm (No. 99)
Asymmetric unit:
Ag (0.0000, 0.0000, 0.0000)  4 Cl 2.69, 4 Mo 2.86, 4 Ag 2.99
Mo (0.5000, 0.5000, 0.7538)  4 Cl 2.54
Cl (0.0000, 0.0000, 0.5743)  4 Mo 2.54
Cl (0.5000, 0.5000, 0.2125)  4 Ag 2.69, 4 Cl 2.99

***

Energies relative to the minimum, meV per atom: #w 0; #x 101

***

#w
Material: Ag2OsCl
Method: DFT, PBEsol
State: relaxed

a b c (Å): 2.8444 2.8444 8.1590
angles (deg): 90.00 90.00 90.00
Closest atoms and distances in Å follow each position.
Space group P4mm (No. 99)
Asymmetric unit:
Ag (0.0000, 0.0000, 0.0000)  4 Os 2.84, 8 Ag 2.84-2.85
Ag (0.5000, 0.5000, 0.2468)  8 Ag 2.84-2.85
Os (0.5000, 0.5000, 0.7547)  4 Cl 2.54, 4 Ag 2.84, 4 Os 2.84
Cl (0.0000, 0.0000, 0.5637)  4 Os 2.54, 4 Cl 2.84

***

#x
Material: Ag2OsCl
Method: DFT, PBEsol
State: relaxed

a b c (Å): 2.8008 5.0251 9.2682
angles (deg): 90.00 90.00 90.00
Closest atoms and distances in Å follow each position.
Space group Cmm2 (No. 35)
Asymmetric unit:
Ag (0.0000, 0.0000, 0.0000)  2 Os 2.74, 8 Ag 2.77-2.88
Ag (0.0000, 0.5000, 0.2577)  8 Ag 2.77-2.88, 2 Cl 2.96
Os (0.0000, 0.5000, 0.7458)  2 Cl 2.38
Cl (0.0000, 0.0000, 0.5388)  2 Os 2.38

***

Energies relative to the minimum, meV per atom: #w 162; #x 0

***

#w
Material: AgOs2Cl
Method: DFT, PBEsol
State: relaxed

a b c (Å): 2.7933 4.4804 9.6219
angles (deg): 90.00 90.00 90.00
Closest atoms and distances in Å follow each position.
Space group Immm (No. 71)
Asymmetric unit:
Ag (0.0000, 0.0000, 0.0000)  4 Cl 2.64, 2 Ag 2.79
Os (0.0000, 0.5000, 0.2192)  2 Cl 2.53, 6 Os 2.71-2.79
Cl (0.0000, 0.0000, 0.5000)  4 Os 2.53, 4 Ag 2.64, 2 Cl 2.79

***

#x
Material: AgOs2Cl
Method: DFT, PBEsol
State: relaxed

a b c (Å): 6.2386 6.2386 6.2386
angles (deg): 90.00 90.00 90.00
Closest atoms and distances in Å follow each position.
Space group F-43m (No. 216)
Asymmetric unit:
Ag (0.0000, 0.0000, 0.0000)  4 Cl 2.70, 4 Os 2.70
Os (0.0000, 0.0000, 0.5000)  4 Os 2.70, 4 Cl 2.70
Os (0.2500, 0.2500, 0.2500)  4 Os 2.70, 4 Ag 2.70
Cl (0.2500, 0.2500, 0.7500)  4 Os 2.70, 4 Ag 2.70

***

Energies relative to the minimum, meV per atom: #w 0; #x 242

***

#w
Material: AgPSCl2
Method: DFT, PBEsol
State: relaxed

a b c (Å): 5.2360 5.2360 4.1530
angles (deg): 90.00 90.00 90.00
Closest atoms and distances in Å follow each position.
Space group P4/mmm (No. 123)
Asymmetric unit:
Ag (0.0000, 0.0000, 0.0000)  8 Cl 3.34, 4 P 3.70
P (0.5000, 0.5000, 0.0000)  2 S 2.08
S (0.5000, 0.5000, 0.5000)  2 P 2.08
Cl (0.0000, 0.5000, 0.5000)  2 S 2.62

***

#x
Material: AgPSCl2
Method: DFT, PBEsol
State: relaxed

a b c (Å): 4.7103 4.7103 5.0410
angles (deg): 90.00 90.00 90.00
Closest atoms and distances in Å follow each position.
Space group P4/mmm (No. 123)
Asymmetric unit:
Ag (0.0000, 0.0000, 0.0000)  4 Cl 2.36, 2 P 2.52
P (0.0000, 0.0000, 0.5000)  2 Ag 2.52
S (0.5000, 0.5000, 0.5000)  4 P 3.33, 8 Cl 3.45
Cl (0.0000, 0.5000, 0.0000)  2 Ag 2.36

***

Energies relative to the minimum, meV per atom: #w 0; #x 138

***

#w
Material: Ag2PbCl
Method: DFT, PBEsol
State: relaxed

a b c (Å): 7.0167 7.0167 7.0167
angles (deg): 90.00 90.00 90.00
Closest atoms and distances in Å follow each position.
Space group F-43m (No. 216)
Asymmetric unit:
Ag (0.0000, 0.0000, 0.0000)  4 Cl 3.04, 4 Ag 3.04
Ag (0.2500, 0.2500, 0.2500)  4 Pb 3.04, 4 Ag 3.04
Pb (0.0000, 0.0000, 0.5000)  4 Cl 3.04, 4 Ag 3.04
Cl (0.2500, 0.2500, 0.7500)  4 Pb 3.04, 4 Ag 3.04

***

#x
Material: Ag2PbCl
Method: DFT, PBEsol
State: relaxed

a b c (Å): 4.4087 4.9159 7.6081
angles (deg): 90.00 90.00 90.00
Closest atoms and distances in Å follow each position.
Space group Cmmm (No. 65)
Asymmetric unit:
Ag (0.0000, 0.0000, 0.2321)  4 Cl 2.82-3.03, 2 Pb 3.00
Pb (0.0000, 0.5000, 0.5000)  8 Ag 3.00-3.19, 4 Pb 3.30
Cl (0.0000, 0.5000, 0.0000)  8 Ag 2.82-3.03

***

Energies relative to the minimum, meV per atom: #w 135; #x 0

***

#w
Material: Ag2PtCl
Method: DFT, PBEsol
State: relaxed

a b c (Å): 3.0152 3.0152 25.3057
angles (deg): 90.00 90.00 120.00
Closest atoms and distances in Å follow each position.
Space group R-3m (No. 166, hexagonal axes)
Asymmetric unit:
Ag (0.0000, 0.0000, 0.2480)  3 Cl 2.70, 3 Pt 2.77, 6 Ag 3.02
Pt (0.0000, 0.0000, 0.0000)  6 Ag 2.77, 6 Pt 3.02
Cl (0.0000, 0.0000, 0.5000)  6 Ag 2.70, 6 Cl 3.02

***

#x
Material: Ag2PtCl
Method: DFT, PBEsol
State: relaxed

a b c (Å): 2.9450 4.3864 11.5482
angles (deg): 90.00 90.00 90.00
Closest atoms and distances in Å follow each position.
Space group Imm2 (No. 44)
Asymmetric unit:
Ag (0.0000, 0.0000, 0.0000)  4 Pt 2.73, 4 Ag 2.77-2.94
Ag (0.0000, 0.5000, 0.1459)  4 Ag 2.77-2.94, 2 Pt 2.79, 4 Cl 2.98
Pt (0.0000, 0.0000, 0.4408)  2 Cl 2.51, 6 Ag 2.73-2.79
Cl (0.0000, 0.5000, 0.7645)  2 Pt 2.51

***

#y
Material: Ag2PtCl
Method: DFT, PBEsol
State: relaxed

a b c (Å): 2.9388 4.8451 9.3904
angles (deg): 90.00 90.00 90.00
Closest atoms and distances in Å follow each position.
Space group Immm (No. 71)
Asymmetric unit:
Ag (0.0000, 0.0000, 0.2476)  2 Cl 2.75, 2 Pt 2.79, 6 Ag 2.83-2.94
Pt (0.0000, 0.5000, 0.0000)  4 Ag 2.79, 4 Cl 2.83, 2 Pt 2.94
Cl (0.0000, 0.5000, 0.5000)  4 Ag 2.75, 4 Pt 2.83, 2 Cl 2.94

***

Energies relative to the minimum, meV per atom: #w 0; #x 133; #y 298

***

#w
Material: AgRhCl2
Method: DFT, PBEsol
State: relaxed

a b c (Å): 3.1500 3.8713 5.8072
angles (deg): 90.00 90.00 90.00
Closest atoms and distances in Å follow each position.
Space group Pmmm (No. 47)
Asymmetric unit:
Ag (0.0000, 0.0000, 0.0000)  4 Cl 2.50
Rh (0.5000, 0.0000, 0.5000)  4 Cl 2.50
Cl (0.0000, 0.5000, 0.5000)  4 Rh 2.50
Cl (0.5000, 0.5000, 0.0000)  4 Ag 2.50

***

#x
Material: AgRhCl2
Method: DFT, PBEsol
State: relaxed

a b c (Å): 14.6447 3.2466 3.2937
angles (deg): 90.00 102.95 90.00
Closest atoms and distances in Å follow each position.
Space group Cm (No. 8)
Asymmetric unit:
Ag (0.0000, 0.0000, 0.0000)  4 Cl 2.63-2.64, 2 Rh 2.74
Rh (0.3451, 0.0000, 0.8461)  4 Cl 2.40
Cl (0.0885, 0.5000, 0.5880)  4 Ag 2.63-2.64
Cl (0.3001, 0.5000, 0.3015)  4 Rh 2.40

***

Energies relative to the minimum, meV per atom: #w 123; #x 0

***

#w
Material: Ag2RhCl
Method: DFT, PBEsol
State: relaxed

a b c (Å): 5.2837 8.5976 2.8570
angles (deg): 90.00 90.00 90.00
Closest atoms and distances in Å follow each position.
Space group Cmmm (No. 65)
Asymmetric unit:
Ag (0.2500, 0.2500, 0.0000)  4 Ag 2.64-2.86, 4 Cl 2.90, 4 Rh 2.90
Rh (0.0000, 0.0000, 0.5000)  2 Cl 2.64, 2 Rh 2.86, 8 Ag 2.90
Cl (0.0000, 0.5000, 0.5000)  2 Rh 2.64, 2 Cl 2.86, 8 Ag 2.90

***

#x
Material: Ag2RhCl
Method: DFT, PBEsol
State: relaxed

a b c (Å): 2.9543 2.9543 7.5481
angles (deg): 90.00 90.00 90.00
Closest atoms and distances in Å follow each position.
Space group P4/mmm (No. 123)
Asymmetric unit:
Ag (0.0000, 0.0000, 0.2435)  4 Rh 2.78, 4 Cl 2.85, 4 Ag 2.95
Rh (0.5000, 0.5000, 0.0000)  8 Ag 2.78, 4 Rh 2.95
Cl (0.5000, 0.5000, 0.5000)  8 Ag 2.85, 4 Cl 2.95

***

#y
Material: Ag2RhCl
Method: DFT, PBEsol
State: relaxed

a b c (Å): 2.9753 4.4758 4.8280
angles (deg): 90.00 90.00 90.00
Closest atoms and distances in Å follow each position.
Space group Pmmm (No. 47)
Asymmetric unit:
Ag (0.0000, 0.0000, 0.0000)  6 Ag 2.69-2.98, 4 Cl 2.84
Ag (0.5000, 0.5000, 0.0000)  6 Ag 2.69-2.98, 4 Rh 2.84
Rh (0.0000, 0.5000, 0.5000)  4 Cl 2.69, 4 Ag 2.84, 2 Rh 2.98
Cl (0.5000, 0.0000, 0.5000)  4 Rh 2.69, 4 Ag 2.84, 2 Cl 2.98

***

Energies relative to the minimum, meV per atom: #w 102; #x 0; #y 111

***

#w
Material: AgSbCl2
Method: DFT, PBEsol
State: relaxed

a b c (Å): 6.9494 6.9494 6.9494
angles (deg): 90.00 90.00 90.00
Closest atoms and distances in Å follow each position.
Space group Fm-3m (No. 225)
Asymmetric unit:
Ag (0.0000, 0.0000, 0.0000)  8 Cl 3.01
Sb (0.0000, 0.0000, 0.5000)  8 Cl 3.01
Cl (0.2500, 0.2500, 0.2500)  4 Sb 3.01, 4 Ag 3.01

***

#x
Material: AgSbCl2
Method: DFT, PBEsol
State: relaxed

a b c (Å): 9.4639 9.4639 5.2438
angles (deg): 90.00 90.00 90.00
Closest atoms and distances in Å follow each position.
Space group I-42d (No. 122)
Asymmetric unit:
Ag (0.0000, 0.0000, 0.0000)  2 Sb 2.62
Sb (0.0000, 0.0000, 0.5000)  2 Ag 2.62, 4 Cl 2.72
Cl (0.1238, 0.2500, 0.6250)  2 Sb 2.72

***

Energies relative to the minimum, meV per atom: #w 250; #x 0

***

#w
Material: AgSbCl2
Method: DFT, PBEsol
State: relaxed

a b c (Å): 6.6565 7.9068 3.1834
angles (deg): 90.00 90.00 90.00
Closest atoms and distances in Å follow each position.
Space group Cmmm (No. 65)
Asymmetric unit:
Ag (0.0000, 0.0000, 0.0000)  8 Cl 3.03, 2 Ag 3.18, 2 Sb 3.33
Sb (0.0000, 0.5000, 0.0000)  8 Cl 3.03, 2 Sb 3.18, 2 Ag 3.33
Cl (0.2500, 0.2500, 0.5000)  4 Sb 3.03, 4 Ag 3.03, 4 Cl 3.18-3.33

***

#x
Material: AgSbCl2
Method: DFT, PBEsol
State: relaxed

a b c (Å): 3.1842 3.1842 8.1704
angles (deg): 90.00 90.00 90.00
Closest atoms and distances in Å follow each position.
Space group P4/mmm (No. 123)
Asymmetric unit:
Ag (0.0000, 0.0000, 0.0000)  8 Cl 2.84
Sb (0.0000, 0.0000, 0.5000)  4 Sb 3.18, 8 Cl 3.26
Cl (0.5000, 0.5000, 0.2114)  4 Ag 2.84

***

Energies relative to the minimum, meV per atom: #w 144; #x 0

***

#w
Material: ScAgCl2
Method: DFT, PBEsol
State: relaxed

a b c (Å): 5.6943 3.3787 6.2615
angles (deg): 90.00 116.94 90.00
Closest atoms and distances in Å follow each position.
Space group P2/m (No. 10)
Asymmetric unit:
Sc (0.0000, 0.0000, 0.0000)  4 Cl 2.44
Ag (0.5000, 0.0000, 0.0000)  2 Sc 2.85
Cl (0.1576, 0.5000, 0.3154)  2 Sc 2.44

***

#x
Material: ScAgCl2
Method: DFT, PBEsol
State: relaxed

a b c (Å): 3.2684 3.2684 7.2906
angles (deg): 90.00 90.00 90.00
Closest atoms and distances in Å follow each position.
Space group P4mm (No. 99)
Asymmetric unit:
Sc (0.0000, 0.0000, 0.0000)  4 Cl 2.70, 4 Ag 2.95
Ag (0.5000, 0.5000, 0.2524)  4 Cl 2.71, 4 Sc 2.95
Cl (0.0000, 0.0000, 0.4474)  4 Ag 2.71
Cl (0.5000, 0.5000, 0.8079)  4 Sc 2.70

***

Energies relative to the minimum, meV per atom: #w 0; #x 70

***

#w
Material: Ag2SeCl
Method: DFT, PBEsol
State: relaxed

a b c (Å): 3.7874 3.7874 5.5143
angles (deg): 90.00 90.00 90.00
Closest atoms and distances in Å follow each position.
Space group P4/mmm (No. 123)
Asymmetric unit:
Ag (0.0000, 0.0000, 0.0000)  4 Cl 2.68, 2 Se 2.76
Ag (0.5000, 0.5000, 0.5000)  4 Se 2.68, 2 Cl 2.76
Se (0.0000, 0.0000, 0.5000)  6 Ag 2.68-2.76
Cl (0.5000, 0.5000, 0.0000)  6 Ag 2.68-2.76

***

#x
Material: Ag2SeCl
Method: DFT, PBEsol
State: relaxed

a b c (Å): 3.1737 4.2186 5.9406
angles (deg): 90.00 90.00 90.00
Closest atoms and distances in Å follow each position.
Space group Pmmm (No. 47)
Asymmetric unit:
Ag (0.0000, 0.0000, 0.0000)  4 Cl 2.64
Ag (0.0000, 0.5000, 0.5000)  4 Se 2.64
Se (0.5000, 0.0000, 0.5000)  4 Ag 2.64
Cl (0.5000, 0.5000, 0.0000)  4 Ag 2.64

***

Energies relative to the minimum, meV per atom: #w 0; #x 133